No. 1
VASP calculation (GGA-PBE) on a relaxed TiTe2Pd crystal.

Geometry as extended XYZ:
```
16
Lattice="8.516 0.000 0.000 0.000 6.527 0.000 -3.659 0.000 7.484" Properties=species:S:1:pos:R:3 pbc="T T T"
Ti -0.882 0.197 2.362
Ti -2.711 3.066 6.104
Ti 7.568 3.461 1.380
Ti 5.738 6.330 5.121
Te -0.574 1.485 4.918
Te 1.256 1.779 1.176
Te -0.650 4.768 6.762
Te 1.179 5.022 3.020
Te 3.677 1.505 4.464
Te 5.507 1.759 0.722
Te 3.600 4.748 6.307
Te 5.430 5.042 2.566
Pd -1.081 4.278 4.199
Pd 0.749 5.513 0.457
Pd 4.108 1.014 7.027
Pd 5.937 2.249 3.285
```

Summary:
- raw formation energy (meV/atom) = -623
- total energy (eV/cell) = -87.5
- spin magnetization (μB/f.u.) = 0.0
- relative energy among the computed polymorphs (meV/atom) = 0

***

No. 2
VASP calculation (GGA-PBE) on a relaxed Al3Co2Si2 crystal.

Geometry as extended XYZ:
```
7
Lattice="4.038 -1.908 0.000 4.038 1.908 0.000 -1.985 0.000 6.196" Properties=species:S:1:pos:R:3 pbc="T T T"
Al 0.000 0.000 0.000
Al 0.212 0.000 2.741
Al 5.878 0.000 3.455
Co 1.327 0.000 4.998
Co 4.763 0.000 1.198
Si 2.401 0.000 1.078
Si 3.689 0.000 5.118
```

Summary:
- raw formation energy (meV/atom) = -250
- total energy (eV/cell) = -38.0
- spin magnetization (μB/f.u.) = 0.0

***

No. 3
VASP calculation (GGA-PBE) on a relaxed CoCu2Sb crystal.

Geometry as extended XYZ:
```
4
Lattice="1.549 0.894 7.489 -1.549 0.894 7.489 0.000 -1.789 7.489" Properties=species:S:1:pos:R:3 pbc="T T T"
Co 0.000 0.000 0.000
Cu 0.000 0.000 5.749
Cu 0.000 0.000 11.482
Sb 0.000 0.000 16.771
```

Summary:
- raw formation energy (meV/atom) = 408
- total energy (eV/cell) = -17.8
- spin magnetization (μB/f.u.) = 0.7

***

No. 4
VASP calculation (GGA-PBE) on a relaxed Ac3La2Tl4In2 crystal.

Geometry as extended XYZ:
```
11
Lattice="5.190 0.000 0.000 -2.595 4.495 0.000 0.000 0.000 16.469" Properties=species:S:1:pos:R:3 pbc="T T T"
Ac 0.000 0.000 0.000
Ac 0.000 0.000 4.257
Ac 0.000 0.000 12.212
La 0.000 2.997 9.204
La 2.595 1.498 7.265
Tl 0.000 2.997 5.865
Tl 0.000 2.997 14.793
Tl 2.595 1.498 1.676
Tl 2.595 1.498 10.604
In 0.000 2.997 2.448
In 2.595 1.498 14.021
```

Summary:
- formation energy from the elements (eV per atom) = -0.26
- total energy (eV/cell) = -40.0
- spin magnetization (μB/f.u.) = 0.0

***

No. 5
VASP calculation (GGA-PBE) on a relaxed Ac2SmTl crystal.

Geometry as extended XYZ:
```
4
Lattice="5.264 0.000 0.000 0.000 5.264 0.000 0.000 0.000 5.160" Properties=species:S:1:pos:R:3 pbc="T T T"
Ac 0.000 2.632 0.000
Ac 2.632 0.000 0.000
Sm 0.000 0.000 2.580
Tl 2.632 2.632 2.580
```

Summary:
- formation energy from the elements (eV per atom) = -0.12
- total energy (eV/cell) = -15.8
- spin magnetization (μB/f.u.) = 0.0
- relative energy among the computed polymorphs (meV/atom) = 18

***

No. 6
VASP calculation (GGA-PBE) on a relaxed K2MnTlI6 crystal.

Geometry as extended XYZ:
```
10
Lattice="4.218 2.435 7.017 -4.218 2.435 7.017 0.000 -4.870 7.017" Properties=species:S:1:pos:R:3 pbc="T T T"
K 0.000 0.000 0.000
K 0.000 0.000 10.367
Mn 0.000 0.000 14.922
Tl 0.000 0.000 4.474
I -1.940 -2.912 9.496
I -2.252 0.433 13.258
I -1.552 3.136 9.496
I 0.751 -2.167 13.258
I 3.492 -0.224 9.496
I 1.501 1.734 13.258
```

Summary:
- raw formation energy (meV/atom) = -821
- total energy (eV/cell) = -31.2
- spin magnetization (μB/f.u.) = 4.0

***

No. 7
VASP calculation (GGA-PBE) on a relaxed Nd3Pb2I2 crystal.

Geometry as extended XYZ:
```
7
Lattice="7.558 -2.216 0.000 7.558 2.216 0.000 -1.630 0.000 7.985" Properties=species:S:1:pos:R:3 pbc="T T T"
Nd 0.000 0.000 0.000
Nd 2.536 0.000 6.132
Nd 10.951 0.000 1.853
Pb 5.547 0.000 1.074
Pb 7.939 0.000 6.911
I 1.296 0.000 3.046
I 12.190 0.000 4.939
```

Summary:
- raw formation energy (meV/atom) = -723
- total energy (eV/cell) = -29.9
- spin magnetization (μB/f.u.) = 0.0

***

No. 8
VASP calculation (GGA-PBE) on a relaxed UPtAu4 crystal.

Geometry as extended XYZ:
```
6
Lattice="0.000 3.886 3.886 3.886 0.000 3.886 3.886 3.886 0.000" Properties=species:S:1:pos:R:3 pbc="T T T"
U 0.000 0.000 0.000
Pt 5.829 5.829 5.829
Au 2.918 2.918 2.918
Au 4.854 4.854 2.918
Au 4.854 2.918 4.854
Au 2.918 4.854 4.854
```

Summary:
- formation energy from the elements (eV per atom) = -0.09
- total energy (eV/cell) = -31.0
- spin magnetization (μB/f.u.) = 2.8

***

No. 9
VASP calculation (GGA-PBE) on a relaxed Be2SbP crystal.

Geometry as extended XYZ:
```
4
Lattice="-1.644 2.820 3.588 1.644 -2.820 3.588 1.644 2.820 -3.588" Properties=species:S:1:pos:R:3 pbc="T T T"
Be 0.000 0.000 1.355
Be 0.000 0.000 5.820
Sb 0.000 2.820 0.000
P 1.644 0.000 0.000
```

Summary:
- raw formation energy (meV/atom) = 479
- total energy (eV/cell) = -15.1
- spin magnetization (μB/f.u.) = 0.0
- relative energy among the computed polymorphs (meV/atom) = 434

***

No. 10
VASP calculation (GGA-PBE) on a relaxed SrYPd3 crystal.

Geometry as extended XYZ:
```
5
Lattice="5.182 0.000 0.000 0.000 5.182 0.000 0.000 0.000 5.182" Properties=species:S:1:pos:R:3 pbc="T T T"
Sr 0.000 0.000 0.000
Y 2.591 2.591 2.591
Pd 0.000 2.591 2.591
Pd 2.591 0.000 2.591
Pd 2.591 2.591 0.000
```

Summary:
- formation energy from the elements (eV per atom) = -0.12
- total energy (eV/cell) = -24.3
- spin magnetization (μB/f.u.) = 0.0
- relative energy among the computed polymorphs (meV/atom) = 0

***

No. 11
VASP calculation (GGA-PBE) on a relaxed Tc2TeCl crystal.

Geometry as extended XYZ:
```
4
Lattice="3.041 0.000 0.000 0.000 4.304 0.000 0.000 0.000 5.623" Properties=species:S:1:pos:R:3 pbc="T T T"
Tc 0.000 0.000 0.000
Tc 1.521 0.000 2.812
Te 0.000 2.152 2.812
Cl 1.521 2.152 0.000
```

Summary:
- raw formation energy (meV/atom) = 845
- total energy (eV/cell) = -22.3
- spin magnetization (μB/f.u.) = 1.5
- relative energy among the computed polymorphs (meV/atom) = 877

***

No. 12
VASP calculation (GGA-PBE) on a relaxed Zn2InGeN4 crystal.

Geometry as extended XYZ:
```
16
Lattice="6.619 0.000 0.000 0.000 5.724 0.000 0.000 0.000 5.436" Properties=species:S:1:pos:R:3 pbc="T T T"
Zn 1.651 0.949 0.000
Zn 1.658 4.775 2.718
Zn 4.960 4.775 2.718
Zn 4.968 0.949 0.000
In 0.000 1.938 2.708
In 3.309 3.786 5.426
Ge 0.000 3.881 5.431
Ge 3.309 1.843 2.713
N 0.000 2.060 4.883
N 0.000 3.945 1.879
N 1.510 4.766 4.751
N 1.800 0.958 2.033
N 3.309 1.779 4.597
N 3.309 3.664 2.165
N 4.819 0.958 2.033
N 5.109 4.766 4.751
```

Summary:
- raw formation energy (meV/atom) = 90
- total energy (eV/cell) = -85.0
- spin magnetization (μB/f.u.) = 0.0

***

No. 13
VASP calculation (GGA-PBE) on a relaxed HfP2SCl crystal.

Geometry as extended XYZ:
```
5
Lattice="5.071 0.000 0.000 0.000 5.071 0.000 0.000 0.000 4.773" Properties=species:S:1:pos:R:3 pbc="T T T"
Hf 0.000 0.000 0.000
P 0.000 2.535 0.000
P 2.535 0.000 0.000
S 2.535 2.535 2.387
Cl 0.000 0.000 2.387
```

Summary:
- raw formation energy (meV/atom) = 275
- total energy (eV/cell) = -25.4
- spin magnetization (μB/f.u.) = 0.0
- relative energy among the computed polymorphs (meV/atom) = 106

***

No. 14
VASP calculation (GGA-PBE) on a relaxed PmSmPaAl crystal.

Geometry as extended XYZ:
```
4
Lattice="0.000 3.766 3.766 3.766 0.000 3.766 3.766 3.766 0.000" Properties=species:S:1:pos:R:3 pbc="T T T"
Pm 0.000 0.000 0.000
Sm 3.766 3.766 3.766
Pa 5.648 5.648 5.648
Al 1.883 1.883 1.883
```

Summary:
- formation energy from the elements (eV per atom) = 0.19
- total energy (eV/cell) = -21.9
- spin magnetization (μB/f.u.) = 0.0

***

No. 15
VASP calculation (GGA-PBE) on a relaxed TiAgS3 crystal.

Geometry as extended XYZ:
```
5
Lattice="4.737 0.000 0.000 0.000 4.737 0.000 0.000 0.000 4.737" Properties=species:S:1:pos:R:3 pbc="T T T"
Ti 0.000 0.000 0.000
Ag 2.368 2.368 2.368
S 0.000 2.368 2.368
S 2.368 0.000 2.368
S 2.368 2.368 0.000
```

Summary:
- raw formation energy (meV/atom) = 645
- total energy (eV/cell) = -19.9
- spin magnetization (μB/f.u.) = 0.1

***

No. 16
VASP calculation (GGA-PBE) on a relaxed CuMoPb3 crystal.

Geometry as extended XYZ:
```
5
Lattice="5.400 0.000 0.000 0.000 5.400 0.000 0.000 0.000 5.400" Properties=species:S:1:pos:R:3 pbc="T T T"
Cu 0.000 0.000 0.000
Mo 2.700 2.700 2.700
Pb 0.000 2.700 2.700
Pb 2.700 0.000 2.700
Pb 2.700 2.700 0.000
```

Summary:
- formation energy from the elements (eV per atom) = 0.80
- total energy (eV/cell) = -22.1
- spin magnetization (μB/f.u.) = 0.9
- relative energy among the computed polymorphs (meV/atom) = 0

***

No. 17
VASP calculation (GGA-PBE) on a relaxed EuDySnPd crystal.

Geometry as extended XYZ:
```
4
Lattice="0.000 3.713 3.713 3.713 0.000 3.713 3.713 3.713 0.000" Properties=species:S:1:pos:R:3 pbc="T T T"
Eu 0.000 0.000 0.000
Dy 3.713 3.713 3.713
Sn 5.569 5.569 5.569
Pd 1.856 1.856 1.856
```

Summary:
- formation energy from the elements (eV per atom) = -0.66
- total energy (eV/cell) = -26.7
- spin magnetization (μB/f.u.) = 6.9

***

No. 18
VASP calculation (GGA-PBE) on a relaxed Mg2ScIn4 crystal.

Geometry as extended XYZ:
```
7
Lattice="4.177 -4.561 0.000 4.177 4.561 0.000 0.000 0.000 4.582" Properties=species:S:1:pos:R:3 pbc="T T T"
Mg 1.717 0.000 0.000
Mg 6.638 0.000 0.000
Sc 4.177 0.000 2.291
In 2.089 2.281 2.291
In 4.177 2.023 0.000
In 2.089 -2.281 2.291
In 4.177 -2.023 0.000
```

Summary:
- formation energy from the elements (eV per atom) = -0.16
- total energy (eV/cell) = -21.6
- spin magnetization (μB/f.u.) = 0.0

***

No. 19
VASP calculation (GGA-PBE) on a relaxed ErAgTeS crystal.

Geometry as extended XYZ:
```
8
Lattice="2.251 1.300 11.642 -2.251 1.300 11.642 0.000 -2.600 11.642" Properties=species:S:1:pos:R:3 pbc="T T T"
Er 0.000 0.000 4.097
Er 0.000 0.000 30.830
Ag 0.000 0.000 10.861
Ag 0.000 0.000 24.066
Te 0.000 0.000 13.740
Te 0.000 0.000 21.187
S 0.000 0.000 6.849
S 0.000 0.000 28.078
```

Summary:
- raw formation energy (meV/atom) = -1148
- total energy (eV/cell) = -38.6
- spin magnetization (μB/f.u.) = 0.0

***

No. 20
VASP calculation (GGA-PBE) on a relaxed ZrTl3Ge crystal.

Geometry as extended XYZ:
```
5
Lattice="5.634 0.000 0.000 0.000 5.634 0.000 0.000 0.000 5.634" Properties=species:S:1:pos:R:3 pbc="T T T"
Zr 0.000 0.000 0.000
Tl 0.000 0.000 2.817
Tl 0.000 2.817 0.000
Tl 2.817 0.000 0.000
Ge 2.817 2.817 2.817
```

Summary:
- formation energy from the elements (eV per atom) = 0.77
- total energy (eV/cell) = -16.4
- spin magnetization (μB/f.u.) = 0.0
- relative energy among the computed polymorphs (meV/atom) = 0